No. 1
Below is an optimized crystal structure of ScZn2Si, with properties calculated at the GGA-PBE level.

Values from the calculation:
Uncorrected energy   -3.724 eV/atom
Spin magnetization   0.00 μB/f.u.
Formation energy without anion corrections   -0.59 eV per formula unit

Cell: 3.283 3.283 6.258 Å, 90.00 90.00 93.57°
Positions (direct):
Sc: 0.000 0.000 0.000
Zn: 0.000 0.000 0.489
Zn: 0.500 0.500 0.701
Si: 0.500 0.500 0.270

=====

No. 2
Below is an optimized crystal structure of Sc2ZnSi2, with properties calculated at the GGA-PBE level.

Values from the calculation:
Uncorrected energy   -5.628 eV/atom
Spin magnetization   0.00 μB/f.u.
Formation energy without anion corrections   -3.36 eV per formula unit

Cell: 6.582 6.582 4.007 Å, 90.00 90.00 90.00°
Positions (direct):
Sc: 0.175 0.325 0.000
Sc: 0.325 0.825 0.000
Sc: 0.675 0.175 0.000
Sc: 0.825 0.675 0.000
Zn: 0.000 0.000 0.500
Zn: 0.500 0.500 0.500
Si: 0.126 0.626 0.500
Si: 0.374 0.126 0.500
Si: 0.626 0.874 0.500
Si: 0.874 0.374 0.500

=====

No. 3
Below is an optimized crystal structure of Sc2Zn16Si, with properties calculated at the GGA-PBE level.

Values from the calculation:
Uncorrected energy   -2.159 eV/atom
Spin magnetization   0.00 μB/f.u.
Formation energy without anion corrections   -2.56 eV per formula unit

Cell: 6.711 6.711 6.711 Å, 83.56 83.56 83.56°
Positions (direct):
Sc: 0.000 0.000 0.000
Sc: 0.342 0.342 0.342
Zn: 0.017 0.017 0.501
Zn: 0.017 0.501 0.017
Zn: 0.163 0.673 0.673
Zn: 0.320 0.320 0.839
Zn: 0.320 0.839 0.320
Zn: 0.352 0.670 0.985
Zn: 0.352 0.985 0.670
Zn: 0.501 0.017 0.017
Zn: 0.670 0.352 0.985
Zn: 0.670 0.985 0.352
Zn: 0.673 0.163 0.673
Zn: 0.673 0.673 0.163
Zn: 0.760 0.760 0.760
Zn: 0.839 0.320 0.320
Zn: 0.985 0.352 0.670
Zn: 0.985 0.670 0.352
Si: 0.564 0.564 0.564

=====

No. 4
Below is an optimized crystal structure of ScZn2Si, with properties calculated at the GGA-PBE level.

Values from the calculation:
Uncorrected energy   -3.772 eV/atom
Spin magnetization   0.00 μB/f.u.
Formation energy without anion corrections   -0.78 eV per formula unit

Cell: 5.113 5.113 5.113 Å, 135.08 133.74 66.45°
Positions (direct):
Sc: 0.000 0.000 0.000
Zn: 0.456 0.456 0.000
Zn: 0.742 0.242 0.500
Si: 0.244 0.744 0.500

=====

No. 5
Below is an optimized crystal structure of ScZn2Si, with properties calculated at the GGA-PBE level.

Values from the calculation:
Uncorrected energy   -3.965 eV/atom
Spin magnetization   0.00 μB/f.u.
Formation energy without anion corrections   -1.56 eV per formula unit

Cell: 3.916 3.916 4.189 Å, 90.00 90.00 90.00°
Positions (direct):
Sc: 0.000 0.000 0.000
Zn: 0.000 0.500 0.500
Zn: 0.500 0.000 0.500
Si: 0.500 0.500 0.000

=====

No. 6
Below is an optimized crystal structure of Sc2ZnSi, with properties calculated at the GGA-PBE level.

Values from the calculation:
Uncorrected energy   -5.335 eV/atom
Spin magnetization   0.00 μB/f.u.
Formation energy without anion corrections   -1.98 eV per formula unit

Cell: 4.439 4.439 3.664 Å, 90.00 90.00 90.00°
Positions (direct):
Sc: 0.000 0.500 0.000
Sc: 0.500 0.000 0.000
Zn: 0.000 0.000 0.500
Si: 0.500 0.500 0.500

=====

No. 7
Below is an optimized crystal structure of Sc2ZnSi, with properties calculated at the GGA-PBE level.

Values from the calculation:
Uncorrected energy   -4.808 eV/atom
Spin magnetization   1.18 μB/f.u.
Formation energy without anion corrections   0.13 eV per formula unit

Cell: 9.091 9.091 9.091 Å, 20.54 20.54 20.54°
Positions (direct):
Sc: 0.000 0.000 0.000
Sc: 0.234 0.234 0.234
Zn: 0.481 0.481 0.481
Si: 0.746 0.746 0.746

=====

No. 8
Below is an optimized crystal structure of Sc2ZnSi, with properties calculated at the GGA-PBE level.

Values from the calculation:
Uncorrected energy   -5.394 eV/atom
Spin magnetization   0.00 μB/f.u.
Formation energy without anion corrections   -2.22 eV per formula unit

Cell: 5.455 3.907 7.652 Å, 90.00 110.79 90.00°
Positions (direct):
Sc: 0.206 0.250 0.425
Sc: 0.277 0.750 0.070
Sc: 0.723 0.250 0.930
Sc: 0.794 0.750 0.575
Zn: 0.371 0.750 0.711
Zn: 0.629 0.250 0.289
Si: 0.140 0.250 0.790
Si: 0.860 0.750 0.210

=====

No. 9
Below is an optimized crystal structure of ScZn11Si, with properties calculated at the GGA-PBE level.

Values from the calculation:
Uncorrected energy   -2.039 eV/atom
Spin magnetization   0.00 μB/f.u.
Formation energy without anion corrections   -0.73 eV per formula unit

Cell: 6.777 6.777 6.701 Å, 98.36 98.36 135.06°
Positions (direct):
Sc: 0.000 0.000 0.000
Zn: 0.000 0.353 0.352
Zn: 0.000 0.500 0.000
Zn: 0.000 0.647 0.648
Zn: 0.293 0.505 0.789
Zn: 0.353 0.000 0.352
Zn: 0.495 0.707 0.211
Zn: 0.500 0.000 0.000
Zn: 0.500 0.500 0.500
Zn: 0.505 0.293 0.789
Zn: 0.647 0.000 0.648
Zn: 0.707 0.495 0.211
Si: 0.000 0.000 0.500

=====

No. 10
Below is an optimized crystal structure of Sc2ZnSi, with properties calculated at the GGA-PBE level.

Values from the calculation:
Uncorrected energy   -5.286 eV/atom
Spin magnetization   0.00 μB/f.u.
Formation energy without anion corrections   -1.79 eV per formula unit

Cell: 5.564 5.564 5.564 Å, 142.63 134.68 60.14°
Positions (direct):
Sc: 0.000 0.000 0.000
Sc: 0.735 0.235 0.500
Zn: 0.271 0.771 0.500
Si: 0.462 0.462 0.000

=====

No. 11
Below is an optimized crystal structure of Sc2Zn3Si2, with properties calculated at the GGA-PBE level.

Values from the calculation:
Uncorrected energy   -4.270 eV/atom
Spin magnetization   0.00 μB/f.u.
Formation energy without anion corrections   -2.56 eV per formula unit

Cell: 9.219 9.219 3.815 Å, 90.00 90.00 157.56°
Positions (direct):
Sc: 0.169 0.831 0.000
Sc: 0.831 0.169 0.000
Zn: 0.000 0.000 0.000
Zn: 0.430 0.570 0.500
Zn: 0.570 0.430 0.500
Si: 0.292 0.708 0.500
Si: 0.708 0.292 0.500

=====

No. 12
Below is an optimized crystal structure of Sc2ZnSi, with properties calculated at the GGA-PBE level.

Values from the calculation:
Uncorrected energy   -5.342 eV/atom
Spin magnetization   0.00 μB/f.u.
Formation energy without anion corrections   -2.01 eV per formula unit

Cell: 3.090 3.737 6.258 Å, 90.00 90.00 90.00°
Positions (direct):
Sc: 0.000 0.000 0.243
Sc: 0.000 0.000 0.757
Zn: 0.500 0.500 0.500
Si: 0.500 0.500 0.000